No. 1
The following is a DFT calculation (PBE) of crystalline LuTaN2O at its relaxed geometry.

Structure (POSCAR):
```
LuTaN2O
1.0
5.526 0.000 0.000
-2.740 4.820 0.000
-0.022 -3.175 9.097
Lu Ta N O
4 4 8 4
direct
0.000 0.000 0.000 Lu
0.175 0.491 0.743 Lu
0.489 0.988 0.493 Lu
0.681 0.491 0.254 Lu
0.099 0.249 0.381 Ta
0.336 0.755 0.112 Ta
0.590 0.228 0.867 Ta
0.854 0.756 0.620 Ta
0.076 0.988 0.498 N
0.166 0.931 0.789 N
0.243 0.052 0.218 N
0.480 0.559 0.469 N
0.584 0.990 0.999 N
0.730 0.060 0.709 N
0.900 0.410 0.526 N
0.995 0.557 0.962 N
0.063 0.464 0.241 O
0.428 0.419 0.046 O
0.575 0.503 0.762 O
0.660 0.896 0.284 O
```

Values from the calculation:
Space-group type: No. 1
DFT total energy (eV per cell): -190.8

=====

No. 2
The following is a DFT calculation (PBE) of crystalline PmAsN2O at its relaxed geometry.

Structure (POSCAR):
```
PmAsN2O
1.0
5.427 0.000 0.000
0.000 7.009 0.000
-0.090 0.000 6.490
Pm As N O
4 4 8 4
direct
0.249 0.003 0.157 Pm
0.249 0.497 0.157 Pm
0.751 0.503 0.843 Pm
0.751 0.997 0.843 Pm
0.226 0.250 0.704 As
0.284 0.750 0.624 As
0.716 0.250 0.376 As
0.774 0.750 0.296 As
0.112 0.750 0.389 N
0.234 0.534 0.774 N
0.234 0.966 0.774 N
0.380 0.250 0.437 N
0.620 0.750 0.563 N
0.766 0.034 0.226 N
0.766 0.466 0.226 N
0.888 0.250 0.611 N
0.041 0.250 0.962 O
0.491 0.250 0.911 O
0.509 0.750 0.089 O
0.959 0.750 0.038 O
```

Values from the calculation:
Space-group type: No. 11
DFT total energy (eV per cell): -142.6

=====

No. 3
The following is a DFT calculation (PBE) of crystalline TbHoZn4 at its relaxed geometry.

Structure (POSCAR):
```
TbHoZn4
1.0
-2.232 3.547 3.770
2.232 -3.547 3.770
2.232 3.547 -3.770
Tb Ho Zn
1 1 4
direct
0.000 0.000 0.000 Tb
0.560 0.060 0.500 Ho
0.158 0.364 0.794 Zn
0.402 0.696 0.706 Zn
0.570 0.364 0.206 Zn
0.990 0.696 0.294 Zn
```

Values from the calculation:
Formation energy (meV/atom): -393
Space-group type: No. 44
DFT total energy (eV per cell): -16.6